{"formula": "ScTe", "functional": "PBE", "state": "relaxed", "lattice_angstrom": [[0.000, 3.270, 3.270], [3.270, 0.000, 3.270], [3.270, 3.270, 0.000]], "species": ["Sc", "Te"], "frac_coords": [[0.000, 0.000, 0.000], [0.750, 0.750, 0.750]], "e_tot_ev_per_cell": -11.0, "m_tot_mub_per_fu": 0.0, "space_group": "No. 216", "raw_formation_energy_ev_per_atom": -0.776}